(1)
This record from Alexandria via LeMat-Bulk describes an optimized crystal structure of BaY2. The functional is PBE.

The space group is P6_3/mmc (No. 194) and the conventional cell measures 7.0805, 7.0805 and 11.9908 Å, with angles of 90.00, 90.00 and 120.00 degrees. The distinct sites, in fractional coordinates, are Ba at (0.3333, 0.6667, 0.0627), Y at (0.0000, 0.0000, 0.0000) and Y at (0.1587, 0.3173, 0.7500).

As for the formation energy: 318 meV/atom. The offset from the most stable computed form comes out at 15.2 kJ/mol of atoms.

(2)
This record from Alexandria via LeMat-Bulk describes an optimized crystal structure of CsGeB. The functional is PBE.

The space group is Pnma (No. 62) and the conventional cell measures 10.996, 3.827 and 8.403 Å, with angles of 90.00, 90.00 and 90.00 degrees. The distinct sites, in fractional coordinates, are Cs at (0.202, 0.250, 0.038), Ge at (0.010, 0.250, 0.648) and B at (0.058, 0.250, 0.390).

As for the formation energy: 480 meV/atom.

(3)
This record from Alexandria via LeMat-Bulk describes an optimized crystal structure of AcRuF. The functional is PBE.

The space group is R-3m (No. 166, hexagonal axes) and the conventional cell measures 4.1471, 4.1471 and 27.5037 Å, with angles of 90.00, 90.00 and 120.00 degrees. The distinct sites, in fractional coordinates, are Ac at (0.0000, 0.0000, 0.2387), Ru at (0.0000, 0.0000, 0.3456) and F at (0.0000, 0.0000, 0.1357).

The value obtained for the energy relative to the elements, uncorrected is -1.6511 eV per atom.

(4)
This record from Alexandria via LeMat-Bulk describes an optimized crystal structure of NdScCuPd. The functional is PBE.

The space group is F-43m (No. 216) and the conventional cell measures 6.937, 6.937 and 6.937 Å, with angles of 90.00, 90.00 and 90.00 degrees. The distinct sites, in fractional coordinates, are Nd at (0.000, 0.000, 0.000), Sc at (0.000, 0.000, 0.500), Cu at (0.250, 0.250, 0.250) and Pd at (0.250, 0.250, 0.750).

As for the formation energy: -459 meV/atom.

(5)
This record from Alexandria via LeMat-Bulk describes an optimized crystal structure of Zr3As. The functional is PBE.

The space group is P4_2/n (No. 86, origin choice 2) and the conventional cell measures 11.036, 11.036 and 5.483 Å, with angles of 90.00, 90.00 and 90.00 degrees. The distinct sites, in fractional coordinates, are Zr at (0.035, 0.931, 0.238), Zr at (0.110, 0.276, 0.034), Zr at (0.144, 0.833, 0.713) and As at (0.044, 0.290, 0.539).

As for the formation energy: -748 meV/atom.

(6)
This record from Alexandria via LeMat-Bulk describes an optimized crystal structure of CeZn4Ir. The functional is PBE.

The space group is Pmma (No. 51) and the conventional cell measures 7.685, 4.162 and 6.848 Å, with angles of 90.00, 90.00 and 90.00 degrees. The distinct sites, in fractional coordinates, are Ce at (0.250, 0.000, 0.109), Zn at (0.000, 0.000, 0.500), Zn at (0.048, 0.500, 0.801), Zn at (0.250, 0.500, 0.460) and Ir at (0.250, 0.000, 0.729).

As for the formation energy: -332 meV/atom. The offset from the most stable computed form comes out at 0.0 kJ/mol of atoms.

(7)
This record from Alexandria via LeMat-Bulk describes an optimized crystal structure of Pr2SmSe3. The functional is PBE.

The space group is Immm (No. 71) and the conventional cell measures 4.245, 5.981 and 12.695 Å, with angles of 90.00, 90.00 and 90.00 degrees. The distinct sites, in fractional coordinates, are Pr at (0.000, 0.000, 0.170), Sm at (0.000, 0.000, 0.500), Se at (0.000, 0.500, 0.162) and Se at (0.000, 0.500, 0.500).

The value obtained for the energy relative to the elements, uncorrected is -1.8328 eV per atom.

(8)
This record from Alexandria via LeMat-Bulk describes an optimized crystal structure of PuZnPt. The functional is PBE.

The space group is I4mm (No. 107) and the conventional cell measures 3.332, 3.332 and 10.531 Å, with angles of 90.00, 90.00 and 90.00 degrees. The distinct sites, in fractional coordinates, are Pu at (0.000, 0.000, 0.000), Zn at (0.000, 0.000, 0.701) and Pt at (0.000, 0.000, 0.319).

As for the formation energy: -471 meV/atom.

(9)
This record from Alexandria via LeMat-Bulk describes an optimized crystal structure of LiIrRu. The functional is PBE.

The space group is I4mm (No. 107) and the conventional cell measures 2.802, 2.802 and 10.056 Å, with angles of 90.00, 90.00 and 90.00 degrees. The distinct sites, in fractional coordinates, are Li at (0.000, 0.000, 0.000), Ir at (0.000, 0.000, 0.337) and Ru at (0.000, 0.000, 0.667).

As for the formation energy: 94 meV/atom. The offset from the most stable computed form comes out at 10.8 kJ/mol of atoms.

(10)
This record from Alexandria via LeMat-Bulk describes an optimized crystal structure of PuInSn2I8. The functional is PBE.

The space group is P2/m (No. 10) and the conventional cell measures 7.390, 9.515 and 7.765 Å, with angles of 90.00, 90.91 and 90.00 degrees. The distinct sites, in fractional coordinates, are Pu at (0.000, 0.000, 0.000), In at (0.000, 0.500, 0.000), Sn at (0.500, 0.253, 0.500), I at (0.245, 0.000, 0.672), I at (0.248, 0.231, 0.158) and I at (0.270, 0.500, 0.644).

The value obtained for the energy relative to the elements, uncorrected is -0.6479 eV per atom.

(11)
This record from Alexandria via LeMat-Bulk describes an optimized crystal structure of LaNd3. The functional is PBE.

The space group is Imm2 (No. 44) and the conventional cell measures 3.719, 12.032 and 6.452 Å, with angles of 90.00, 90.00 and 90.00 degrees. The distinct sites, in fractional coordinates, are La at (0.000, 0.000, 0.000), Nd at (0.000, 0.249, 0.332) and Nd at (0.000, 0.500, 0.003).

As for the formation energy: 32 meV/atom. The offset from the most stable computed form comes out at 1.9 kJ/mol of atoms.

(12)
This record from Alexandria via LeMat-Bulk describes an optimized crystal structure of NaGa2Sn4. The functional is PBE.

The space group is Cmmm (No. 65) and the conventional cell measures 4.919, 16.479 and 4.647 Å, with angles of 90.00, 90.00 and 90.00 degrees. The distinct sites, in fractional coordinates, are Na at (0.000, 0.000, 0.000), Ga at (0.000, 0.424, 0.500), Sn at (0.000, 0.170, 0.500) and Sn at (0.000, 0.316, 0.000).

As for the formation energy: -2 meV/atom.

Number 1: total moment 1.155 μB/f.u.. Number 2: total moment 0.000 μB/f.u.. Number 3: total moment 0.000 μB/f.u.. Number 4: total moment 0.000 μB/f.u.. Number 5: total moment 0.000 μB/f.u.. Number 6: total moment 0.357 μB/f.u.. Number 7: total moment 0.000 μB/f.u.. Number 8: total moment 5.567 μB/f.u.. Number 9: total moment 0.000 μB/f.u.. Number 10: total moment 4.993 μB/f.u.. Number 11: total moment 0.000 μB/f.u.. Number 12: total moment 0.000 μB/f.u..